[1]
The following is a DFT calculation (PBE) of Nd3Si11Pt23 after structural relaxation.

a = 12.0504 Å, b = 12.0504 Å, c = 12.0504 Å
α = 60.00°, β = 60.00°, γ = 60.00°
Element x y z (fractional)
Nd 0.0000 0.0000 0.5000
Nd 0.0000 0.5000 0.0000
Nd 0.0000 0.5000 0.5000
Nd 0.5000 0.0000 0.0000
Nd 0.5000 0.0000 0.5000
Nd 0.5000 0.5000 0.0000
Si 0.1654 0.1654 0.1654
Si 0.1654 0.1654 0.5038
Si 0.1654 0.5038 0.1654
Si 0.1711 0.1711 0.8289
Si 0.1711 0.8289 0.1711
Si 0.1711 0.8289 0.8289
Si 0.1805 0.6065 0.6065
Si 0.3935 0.3935 0.3935
Si 0.3935 0.3935 0.8195
Si 0.3935 0.8195 0.3935
Si 0.4962 0.8346 0.8346
Si 0.5038 0.1654 0.1654
Si 0.6065 0.1805 0.6065
Si 0.6065 0.6065 0.1805
Si 0.6065 0.6065 0.6065
Si 0.8195 0.3935 0.3935
Si 0.8289 0.1711 0.1711
Si 0.8289 0.1711 0.8289
Si 0.8289 0.8289 0.1711
Si 0.8346 0.4962 0.8346
Si 0.8346 0.8346 0.4962
Si 0.8346 0.8346 0.8346
Pt 0.0750 0.3083 0.3083
Pt 0.0829 0.0829 0.0829
Pt 0.0829 0.0829 0.7513
Pt 0.0830 0.4210 0.7480
Pt 0.0830 0.7480 0.4210
Pt 0.0830 0.7480 0.7480
Pt 0.0829 0.7513 0.0829
Pt 0.2487 0.9171 0.9171
Pt 0.2520 0.2520 0.5790
Pt 0.2520 0.2520 0.9170
Pt 0.2520 0.5790 0.2520
Pt 0.2520 0.5790 0.9170
Pt 0.2520 0.9170 0.2520
Pt 0.2520 0.9170 0.5790
Pt 0.3083 0.0750 0.3083
Pt 0.3083 0.3083 0.0750
Pt 0.3083 0.3083 0.3083
Pt 0.3742 0.3742 0.6258
Pt 0.3742 0.6258 0.3742
Pt 0.3742 0.6258 0.6258
Pt 0.4210 0.0830 0.7480
Pt 0.4210 0.7480 0.0830
Pt 0.4210 0.7480 0.7480
Pt 0.5790 0.2520 0.2520
Pt 0.5790 0.2520 0.9170
Pt 0.5790 0.9170 0.2520
Pt 0.6258 0.3742 0.3742
Pt 0.6258 0.3742 0.6258
Pt 0.6258 0.6258 0.3742
Pt 0.6917 0.6917 0.6917
Pt 0.6917 0.6917 0.9250
Pt 0.6917 0.9250 0.6917
Pt 0.7480 0.0830 0.4210
Pt 0.7480 0.0830 0.7480
Pt 0.7480 0.4210 0.0830
Pt 0.7480 0.4210 0.7480
Pt 0.7480 0.7480 0.0830
Pt 0.7480 0.7480 0.4210
Pt 0.7513 0.0829 0.0829
Pt 0.9171 0.2487 0.9171
Pt 0.9170 0.2520 0.2520
Pt 0.9170 0.2520 0.5790
Pt 0.9170 0.5790 0.2520
Pt 0.9171 0.9171 0.2487
Pt 0.9171 0.9171 0.9171
Pt 0.9250 0.6917 0.6917

Calculated values
Crystal system   cubic
E_form (uncorrected)   -0.9036 eV/atom
Space group   Fm-3m, No. 225

[2]
The following is a DFT calculation (PBE) of Sm2AlGaAu6 after structural relaxation.

a = 5.5392 Å, b = 6.6859 Å, c = 6.7589 Å
α = 78.87°, β = 68.48°, γ = 67.91°
Element x y z (fractional)
Sm 0.0043 0.2521 0.2366
Sm 0.9957 0.7479 0.7634
Al 0.5000 0.0000 0.5000
Ga 0.5000 0.5000 0.0000
Au 0.0062 0.2151 0.7657
Au 0.3684 0.4043 0.4055
Au 0.4980 0.8248 0.1836
Au 0.5020 0.1752 0.8164
Au 0.6316 0.5957 0.5945
Au 0.9938 0.7849 0.2343

Calculated values
Formation energy   -0.519 eV per atom
Crystal system   triclinic
Space group   P-1, No. 2

[3]
The following is a DFT calculation (PBE) of ZrMnBr after structural relaxation.

a = 4.2146 Å, b = 4.2146 Å, c = 4.2146 Å
α = 60.00°, β = 60.00°, γ = 60.00°
Element x y z (fractional)
Zr 0.0000 0.0000 0.0000
Mn 0.2500 0.2500 0.2500
Br 0.5000 0.5000 0.5000

Calculated values
Crystal system   cubic
E_form (uncorrected)   0.4756 eV/atom
Space group   F-43m, No. 216

[4]
The following is a DFT calculation (PBE) of ZrBe3N after structural relaxation.

a = 3.7832 Å, b = 3.7832 Å, c = 3.7832 Å
α = 90.00°, β = 90.00°, γ = 90.00°
Element x y z (fractional)
Zr 0.0000 0.0000 0.0000
Be 0.0000 0.5000 0.5000
Be 0.5000 0.0000 0.5000
Be 0.5000 0.5000 0.0000
N 0.5000 0.5000 0.5000

Calculated values
Crystal system   cubic
Offset from the most stable computed form   0.000 eV per atom
E_form (uncorrected)   0.2906 eV/atom
Space group   Pm-3m, No. 221

[5]
The following is a DFT calculation (PBE) of BeCoOs3 after structural relaxation.

a = 4.3774 Å, b = 4.3774 Å, c = 4.3774 Å
α = 90.00°, β = 90.00°, γ = 90.00°
Element x y z (fractional)
Be 0.0000 0.0000 0.0000
Co 0.5000 0.5000 0.5000
Os 0.0000 0.5000 0.5000
Os 0.5000 0.0000 0.5000
Os 0.5000 0.5000 0.0000

Calculated values
Formation energy   2.079 eV per atom
Crystal system   cubic
Offset from the most stable computed form   1.175 eV per atom
Space group   Pm-3m, No. 221

[6]
The following is a DFT calculation (PBE) of ScPaGa6 after structural relaxation.

a = 4.2291 Å, b = 4.2291 Å, c = 8.3503 Å
α = 90.00°, β = 90.00°, γ = 90.00°
Element x y z (fractional)
Sc 0.0000 0.0000 0.0000
Pa 0.0000 0.0000 0.5000
Ga 0.0000 0.5000 0.2397
Ga 0.0000 0.5000 0.7603
Ga 0.5000 0.0000 0.2397
Ga 0.5000 0.0000 0.7603
Ga 0.5000 0.5000 0.0000
Ga 0.5000 0.5000 0.5000

Calculated values
Formation energy   -0.445 eV per atom
Crystal system   tetragonal
Space group   P4/mmm, No. 123

[7]
The following is a DFT calculation (PBE) of NdH8Rh4 after structural relaxation.

a = 5.3450 Å, b = 5.3450 Å, c = 5.4570 Å
α = 116.59°, β = 116.59°, γ = 63.16°
Element x y z (fractional)
Nd 0.0000 0.0000 0.0000
H 0.0857 0.4893 0.1985
H 0.1304 0.1304 0.5424
H 0.4607 0.4607 0.7543
H 0.4893 0.0857 0.1985
H 0.5107 0.9143 0.8015
H 0.5393 0.5393 0.2457
H 0.8696 0.8696 0.4576
H 0.9143 0.5107 0.8015
Rh 0.2567 0.7433 0.5000
Rh 0.3188 0.3188 0.9507
Rh 0.6812 0.6812 0.0493
Rh 0.7433 0.2567 0.5000

Calculated values
Crystal system   monoclinic
Space group   C2/m, No. 12

[8]
The following is a DFT calculation (PBE) of LiSbCl2 after structural relaxation.

a = 5.1054 Å, b = 5.1054 Å, c = 5.1054 Å
α = 60.00°, β = 60.00°, γ = 60.00°
Element x y z (fractional)
Li 0.0000 0.0000 0.0000
Sb 0.2500 0.2500 0.2500
Cl 0.5000 0.5000 0.5000
Cl 0.7500 0.7500 0.7500

Calculated values
Crystal system   cubic
Offset from the most stable computed form   0.970 eV per atom
E_form (uncorrected)   -0.1073 eV/atom
Space group   F-43m, No. 216

[9]
The following is a DFT calculation (PBE) of LiS5I after structural relaxation.

a = 9.9355 Å, b = 9.9355 Å, c = 4.3513 Å
α = 100.83°, β = 100.83°, γ = 139.40°
Element x y z (fractional)
Li 0.0000 0.0000 0.0000
S 0.3722 0.4603 0.2341
S 0.5397 0.6278 0.7659
S 0.6092 0.1364 0.2259
S 0.8043 0.1957 0.0000
S 0.8636 0.3908 0.7741
I 0.0803 0.9197 0.5000

Calculated values
Crystal system   monoclinic
E_form (uncorrected)   -0.1199 eV/atom
Space group   C2, No. 5

[10]
The following is a DFT calculation (PBE) of TaFeSe2 after structural relaxation.

a = 3.2241 Å, b = 3.2241 Å, c = 6.3089 Å
α = 90.00°, β = 90.00°, γ = 90.00°
Element x y z (fractional)
Ta 0.0000 0.0000 0.0000
Fe 0.0000 0.0000 0.5000
Se 0.5000 0.5000 0.2451
Se 0.5000 0.5000 0.7549

Calculated values
Crystal system   tetragonal
Offset from the most stable computed form   0.440 eV per atom
E_form (uncorrected)   -0.0860 eV/atom
Space group   P4/mmm, No. 123

[11]
The following is a DFT calculation (PBE) of KCaYBr6 after structural relaxation.

a = 7.4609 Å, b = 7.4609 Å, c = 14.3266 Å
α = 90.00°, β = 90.00°, γ = 120.00°
Element x y z (fractional)
K 0.0000 0.0000 0.0000
K 0.0000 0.0000 0.5000
Ca 0.3333 0.6667 0.2500
Ca 0.6667 0.3333 0.7500
Y 0.3333 0.6667 0.7500
Y 0.6667 0.3333 0.2500
Br 0.0100 0.3739 0.6366
Br 0.0100 0.6361 0.8634
Br 0.3639 0.3739 0.8634
Br 0.3639 0.9900 0.6366
Br 0.3739 0.0100 0.1366
Br 0.3739 0.3639 0.3634
Br 0.6261 0.6361 0.6366
Br 0.6261 0.9900 0.8634
Br 0.6361 0.0100 0.3634
Br 0.6361 0.6261 0.1366
Br 0.9900 0.3639 0.1366
Br 0.9900 0.6261 0.3634

Calculated values
Crystal system   trigonal
E_form (uncorrected)   -1.9293 eV/atom
Space group   P-31c, No. 163

[12]
The following is a DFT calculation (PBE) of Tb8Se4S3N after structural relaxation.

a = 8.0067 Å, b = 8.0067 Å, c = 8.0067 Å
α = 58.91°, β = 58.91°, γ = 58.91°
Element x y z (fractional)
Tb 0.2422 0.2422 0.2422
Tb 0.2642 0.7242 0.7242
Tb 0.2758 0.2758 0.7358
Tb 0.2758 0.7358 0.2758
Tb 0.7242 0.2642 0.7242
Tb 0.7242 0.7242 0.2642
Tb 0.7358 0.2758 0.2758
Tb 0.7578 0.7578 0.7578
Se 0.0000 0.0000 0.0000
Se 0.0000 0.5000 0.5000
Se 0.5000 0.0000 0.5000
Se 0.5000 0.5000 0.0000
S 0.0000 0.0000 0.5000
S 0.0000 0.5000 0.0000
S 0.5000 0.0000 0.0000
N 0.5000 0.5000 0.5000

Calculated values
Crystal system   trigonal
E_form (uncorrected)   -1.8429 eV/atom
Space group   R-3m, No. 166

[13]
The following is a DFT calculation (PBE) of SrCaAl2Tl after structural relaxation.

a = 5.7860 Å, b = 5.7860 Å, c = 5.9487 Å
α = 90.00°, β = 90.00°, γ = 90.00°
Element x y z (fractional)
Sr 0.0000 0.0000 0.0000
Ca 0.5000 0.5000 0.5000
Al 0.0000 0.5000 0.0000
Al 0.5000 0.0000 0.0000
Tl 0.0000 0.0000 0.5000

Calculated values
Formation energy   0.752 eV per atom
Crystal system   tetragonal
Space group   P4/mmm, No. 123

[14]
The following is a DFT calculation (PBE) of PrDy2F11 after structural relaxation.

a = 8.8417 Å, b = 8.8417 Å, c = 8.8417 Å
α = 123.03°, β = 108.42°, γ = 97.99°
Element x y z (fractional)
Pr 0.2500 0.2500 0.0000
Pr 0.7500 0.7500 0.0000
Dy 0.1885 0.6567 0.8453
Dy 0.3115 0.1567 0.4682
Dy 0.6885 0.8433 0.5318
Dy 0.8115 0.3433 0.1547
F 0.0000 0.5000 0.5000
F 0.0352 0.9668 0.2805
F 0.0522 0.3422 0.1337
F 0.1863 0.4668 0.9316
F 0.1963 0.3902 0.5865
F 0.2085 0.9185 0.8663
F 0.2915 0.1578 0.7100
F 0.3037 0.8902 0.1940
F 0.3137 0.2453 0.2805
F 0.4478 0.5815 0.2900
F 0.4648 0.7453 0.9316
F 0.5000 0.0000 0.5000
F 0.5352 0.2547 0.0684
F 0.5522 0.4185 0.7100
F 0.6863 0.7547 0.7195
F 0.6963 0.1098 0.8060
F 0.7085 0.8422 0.2900
F 0.7915 0.0815 0.1337
F 0.8037 0.6098 0.4135
F 0.8137 0.5332 0.0684
F 0.9478 0.6578 0.8663
F 0.9648 0.0332 0.7195

Calculated values
Crystal system   orthorhombic
E_form (uncorrected)   -3.4387 eV/atom
Space group   Ibam, No. 72

[15]
The following is a DFT calculation (PBE) of ZnMoPd2 after structural relaxation.

a = 2.7842 Å, b = 2.7842 Å, c = 7.6592 Å
α = 90.00°, β = 90.00°, γ = 90.00°
Element x y z (fractional)
Zn 0.0000 0.0000 0.0000
Mo 0.0000 0.0000 0.5000
Pd 0.5000 0.5000 0.2393
Pd 0.5000 0.5000 0.7607

Calculated values
Formation energy   -0.267 eV per atom
Crystal system   tetragonal
Space group   P4/mmm, No. 123

[16]
The following is a DFT calculation (PBE) of Cs3PuBi2Te6 after structural relaxation.

a = 8.1218 Å, b = 8.1218 Å, c = 9.2807 Å
α = 98.39°, β = 98.39°, γ = 120.05°
Element x y z (fractional)
Cs 0.0000 0.0000 0.0000
Cs 0.3321 0.6679 0.0000
Cs 0.6679 0.3321 0.0000
Pu 0.5000 0.5000 0.5000
Bi 0.1663 0.8337 0.5000
Bi 0.8337 0.1663 0.5000
Te 0.1040 0.4368 0.3094
Te 0.2313 0.2313 0.6914
Te 0.4368 0.1040 0.3094
Te 0.5632 0.8960 0.6906
Te 0.7687 0.7687 0.3086
Te 0.8960 0.5632 0.6906

Calculated values
Crystal system   monoclinic
E_form (uncorrected)   -0.7676 eV/atom
Space group   C2/m, No. 12

[17]
The following is a DFT calculation (PBE) of ScTa2Rh after structural relaxation.

a = 6.0295 Å, b = 6.0295 Å, c = 6.0295 Å
α = 101.59°, β = 101.59°, γ = 126.75°
Element x y z (fractional)
Sc 0.0000 0.0000 0.0000
Sc 0.7500 0.2500 0.5000
Ta 0.1691 0.1250 0.5441
Ta 0.3750 0.8309 0.9559
Ta 0.5809 0.6250 0.4559
Ta 0.8750 0.4191 0.0441
Rh 0.2500 0.7500 0.5000
Rh 0.5000 0.5000 0.0000

Calculated values
Formation energy   0.206 eV per atom
Crystal system   tetragonal
Offset from the most stable computed form   0.562 eV per atom
Space group   I-42d, No. 122

[18]
The following is a DFT calculation (PBE) of PmSm2Ni2Ge2 after structural relaxation.

a = 10.1457 Å, b = 10.1457 Å, c = 10.1457 Å
α = 24.26°, β = 24.26°, γ = 24.26°
Element x y z (fractional)
Pm 0.0000 0.0000 0.0000
Sm 0.1219 0.1219 0.1219
Sm 0.8781 0.8781 0.8781
Ni 0.3973 0.3973 0.3973
Ni 0.6027 0.6027 0.6027
Ge 0.2657 0.2657 0.2657
Ge 0.7343 0.7343 0.7343

Calculated values
Formation energy   -0.607 eV per atom
Crystal system   trigonal
Space group   R-3m, No. 166

[19]
The following is a DFT calculation (PBE) of CrRh2Br after structural relaxation.

a = 4.6138 Å, b = 4.6138 Å, c = 4.7987 Å
α = 98.85°, β = 98.85°, γ = 39.28°
Element x y z (fractional)
Cr 0.0000 0.0000 0.0000
Rh 0.2657 0.2657 0.7810
Rh 0.7343 0.7343 0.2190
Br 0.5000 0.5000 0.5000

Calculated values
Crystal system   monoclinic
Offset from the most stable computed form   0.115 eV per atom
E_form (uncorrected)   0.3908 eV/atom
Space group   C2/m, No. 12

[20]
The following is a DFT calculation (PBE) of ScMnTl2 after structural relaxation.

a = 9.3797 Å, b = 9.3797 Å, c = 9.3797 Å
α = 20.85°, β = 20.85°, γ = 20.85°
Element x y z (fractional)
Sc 0.0000 0.0000 0.0000
Mn 0.5000 0.5000 0.5000
Tl 0.2454 0.2454 0.2454
Tl 0.7546 0.7546 0.7546

Calculated values
Formation energy   0.187 eV per atom
Crystal system   trigonal
Space group   R-3m, No. 166

[21]
The following is a DFT calculation (PBE) of GaPdIO2 after structural relaxation.

a = 4.1044 Å, b = 4.1044 Å, c = 5.8157 Å
α = 90.00°, β = 90.00°, γ = 90.00°
Element x y z (fractional)
Ga 0.0000 0.0000 0.0000
Pd 0.5000 0.5000 0.5000
I 0.5000 0.5000 0.0000
O 0.0000 0.5000 0.5000
O 0.5000 0.0000 0.5000

Calculated values
Crystal system   tetragonal
Offset from the most stable computed form   0.494 eV per atom
E_form (uncorrected)   0.1412 eV/atom
Space group   P4/mmm, No. 123

Taking the records one at a time from the top gives calculated total energy values of -492.66; -41.06; -17.96; -26.60; -34.13; -37.55; -63.43; -10.16; -24.94; -27.63; -73.93; -101.17; -9.77; -165.42; -23.56; -52.72; -73.13; -39.24; -24.44; -19.49; -18.98 eV/cell.